No. 1
The following is a DFT calculation (GGA-PBE) of a relaxed Ba2VInRh crystal.

POSCAR file:
```
Ba2VInRh
1.0
6.498 0.000 0.000
0.000 6.498 0.000
0.000 0.000 4.918
Ba V In Rh
2 1 1 1
direct
0.000 0.500 0.000
0.500 0.000 0.000
0.000 0.000 0.500
0.500 0.500 0.000
0.500 0.500 0.500
```

Calculated values
Spin magnetization ... 0.357 μB per formula unit
Mass density ... 4.3 Mg/m³
Raw total energy ... -17.5 eV/f.u.
DOS at the Fermi energy ... 10.53 states/eV per cell
Formation enthalpy at 0 K ... 1109 meV per atom

***

No. 2
The following is a DFT calculation (GGA-PBE) of a relaxed B5C7 crystal.

POSCAR file:
```
B5C7
1.0
4.444 -1.337 0.000
4.444 1.337 0.000
-3.036 0.000 6.906
B C
5 7
direct
0.000 0.000 0.000
0.129 0.129 0.714
0.295 0.295 0.118
0.363 0.363 0.647
0.531 0.531 0.415
0.165 0.165 0.214
0.503 0.503 0.858
0.669 0.669 0.327
0.673 0.673 0.837
0.822 0.822 0.526
0.827 0.827 0.032
0.991 0.991 0.494
```

Calculated values
Spin magnetization ... 0.000 μB per formula unit
Mass density ... 2.8 Mg/m³
Raw total energy ... -93.7 eV/f.u.
DOS at the Fermi energy ... 1.55 states/eV per cell
Formation enthalpy at 0 K ... 351 meV per atom